DFT (PBE-GGA) results for an optimized crystal structure of Ba2AcSi4.

Cell: 4.122 4.816 19.562 Å, 90.00 90.00 90.00°
Space group Immm (No. 71)
Unique sites:
Ba (0.000, 0.000, 0.183) x4
Ac (0.000, 0.500, 0.500) x2
Si (0.000, 0.000, 0.373) x4
Si (0.000, 0.500, 0.061) x4

- ρ: 5.3 g/cm3
- Total energy: -4.72 eV/atom
- Crystal system: orthorhombic
- E_form (uncorrected): -0.481 eV per atom